(1)
# AlTcIr2

A relaxed structure of AlTcIr2 (PBE, the Alexandria database).

Properties
Energy of formation   -371 meV per atom
D(E_F)   3.68 states/eV/cell

abc: 4.393 2.774 4.731
angles: 90.96 90.00 90.00
Element x y z (fractional)
Tc 0.000 0.642 0.455
Ir 0.000 0.104 0.939
Ir 0.500 0.149 0.296
Al 0.500 0.605 0.810

---

(2)
# YNpBiO6

A relaxed structure of YNpBiO6 (PBE, the Alexandria database).

Properties
Total energy   -8.4433 eV/atom
D(E_F)   0.40 states/eV/cell

abc: 5.807 5.807 9.588
angles: 90.00 90.00 120.00
Site moments in Bohr magnetons follow the coordinates.
Element x y z (fractional)
O 0.026 0.364 0.635  -0.04
O 0.338 0.364 0.865  -0.04
O 0.364 0.026 0.135  -0.04
O 0.662 0.636 0.135  -0.04
O 0.338 0.974 0.635  -0.04
O 0.636 0.974 0.865  -0.04
O 0.026 0.662 0.865  -0.04
O 0.364 0.338 0.365  -0.04
O 0.974 0.636 0.365  -0.04
O 0.974 0.338 0.135  -0.04
O 0.636 0.662 0.635  -0.04
O 0.662 0.026 0.365  -0.04
Y 0.667 0.333 0.750  0.00
Y 0.333 0.667 0.250  0.00
Bi 0.000 0.000 0.500  -0.01
Bi 0.000 0.000 0.000  -0.01
Np 0.333 0.667 0.750  1.22
Np 0.667 0.333 0.250  1.22

---

Asked for V across the records above, the calculation gives 14.41; 15.56 A^3/atom in order.